DFT (PBE-GGA) results for a geometry-optimized CeFe2BC structure.

Cell: 5.3369 5.3369 6.6174 Å, 90.00 90.00 140.23°
Last column: nearest neighbours and their distance in Å.
Positions (direct):
Ce 0.0512 0.9488 0.7500  4 C 2.51
Ce 0.9488 0.0512 0.2500  4 C 2.51
Fe 0.3229 0.6771 0.5630  1 C 1.83
Fe 0.3229 0.6771 0.9370  1 C 1.83
Fe 0.6771 0.3229 0.0630  1 C 1.83
Fe 0.6771 0.3229 0.4370  1 C 1.83
B 0.2297 0.7703 0.2500  6 Fe 2.26-2.27
B 0.7703 0.2297 0.7500  6 Fe 2.26-2.27
C 0.5000 0.5000 0.0000  2 Fe 1.83
C 0.5000 0.5000 0.5000  2 Fe 1.83

- Formation energy from the elements: -0.201 eV/atom
- V: 60 Å³/f.u.